A plane-wave DFT calculation with GGA-PBE was carried out for a relaxed Pu2NiGe4Rh3 crystal.

Cell and atoms, written as CIF:
```
data_Pu2NiGe4Rh3
_chemical_formula_sum 'Pu2 Ni1 Ge4 Rh3'
_space_group_name_H-M_alt 'P -4 m 2'
_space_group_IT_number 115
_space_group_name_Hall 'P -4 -2'
_cell_length_a 4.2292
_cell_length_b 4.2292
_cell_length_c 10.0177
_cell_angle_alpha 90.00
_cell_angle_beta 90.00
_cell_angle_gamma 90.00
loop_
_atom_site_label
_atom_site_type_symbol
_atom_site_fract_x
_atom_site_fract_y
_atom_site_fract_z
_atom_site_occupancy
Pu1 Pu 0.0000 0.5000 0.2502 1
Ni1 Ni 0.0000 0.0000 0.5000 1
Ge1 Ge 0.0000 0.0000 0.0000 1
Ge2 Ge 0.0000 0.5000 0.6261 1
Ge3 Ge 0.5000 0.5000 0.0000 1
Rh1 Rh 0.0000 0.5000 0.8699 1
Rh2 Rh 0.5000 0.5000 0.5000 1
```

Output
V ... 17.92 Å³ per atom
Density of states at the Fermi level ... 28.97 states/eV per cell
VASP energy ... -80.77 eV/cell

A plane-wave DFT calculation with GGA-PBE was carried out for a relaxed LiTl2Ni crystal.

Cell and atoms, written as CIF:
```
data_LiTl2Ni
_chemical_formula_sum 'Li1 Tl2 Ni1'
_space_group_name_H-M_alt 'P 4/m m m'
_space_group_IT_number 123
_space_group_name_Hall '-P 4 2'
_cell_length_a 4.6066
_cell_length_b 4.6066
_cell_length_c 3.5097
_cell_angle_alpha 90.00
_cell_angle_beta 90.00
_cell_angle_gamma 90.00
loop_
_atom_site_label
_atom_site_type_symbol
_atom_site_fract_x
_atom_site_fract_y
_atom_site_fract_z
_atom_site_occupancy
Li1 Li 0.0000 0.0000 0.0000 1
Tl1 Tl 0.0000 0.5000 0.5000 1
Ni1 Ni 0.5000 0.5000 0.0000 1
```

Output
V ... 18.62 Å³ per atom
Density of states at the Fermi level ... 2.34 states/eV per cell
VASP energy ... -12.09 eV/cell

A plane-wave DFT calculation with GGA-PBE was carried out for a relaxed Sr3Zn2Pd3 crystal.

Cell and atoms, written as CIF:
```
data_Sr3Zn2Pd3
_chemical_formula_sum 'Sr12 Zn8 Pd12'
_space_group_name_H-M_alt 'P n m a'
_space_group_IT_number 62
_space_group_name_Hall '-P 2ac 2n'
_cell_length_a 8.2761
_cell_length_b 15.4936
_cell_length_c 6.1422
_cell_angle_alpha 90.00
_cell_angle_beta 90.00
_cell_angle_gamma 90.00
loop_
_atom_site_label
_atom_site_type_symbol
_atom_site_fract_x
_atom_site_fract_y
_atom_site_fract_z
_atom_site_occupancy
Sr1 Sr 0.0356 0.1046 0.1389 1
Sr2 Sr 0.1750 0.2500 0.6090 1
Zn1 Zn 0.1215 0.6003 0.3721 1
Pd1 Pd 0.1684 0.0391 0.6062 1
Pd2 Pd 0.1748 0.7500 0.5808 1
```

Output
V ... 24.61 Å³ per atom
Density of states at the Fermi level ... 14.32 states/eV per cell
VASP energy ... -110.88 eV/cell